DFT (PBE) results for a geometry-optimized Ti2BiC structure.

CIF file:
```
data_Ti2BiC
_chemical_formula_sum 'Ti8 Bi4 C4'
_cell_length_a 6.510
_cell_length_b 6.510
_cell_length_c 6.686
_cell_angle_alpha 90.00
_cell_angle_beta 90.00
_cell_angle_gamma 90.00
_space_group_name_H-M_alt 'I -4 2 d'
_space_group_IT_number 122
_space_group_name_Hall 'I -4 2bw'
loop_
_atom_site_label
_atom_site_type_symbol
_atom_site_fract_x
_atom_site_fract_y
_atom_site_fract_z
_atom_site_occupancy
Ti1 Ti 0.137 0.250 0.125 1
Bi1 Bi 0.000 0.000 0.500 1
C1 C 0.000 0.000 0.000 1
```

Values from the calculation:
Spin magnetization ... 0.0 Bohr magnetons per cell
Uncorrected energy ... -29.2 eV/f.u.

***

DFT (PBE) results for a geometry-optimized LiCd8Sn2 structure.

CIF file:
```
data_LiCd8Sn2
_chemical_formula_sum 'Li2 Cd16 Sn4'
_cell_length_a 13.658
_cell_length_b 8.317
_cell_length_c 4.939
_cell_angle_alpha 90.00
_cell_angle_beta 98.64
_cell_angle_gamma 90.00
_space_group_name_H-M_alt 'C 1 2/m 1'
_space_group_IT_number 12
loop_
_space_group_symop_operation_xyz
'x,y,z'
'-x,-y,-z'
'-x,y,-z'
'x,-y,z'
'x+1/2,y+1/2,z'
'-x+1/2,-y+1/2,-z'
'-x+1/2,y+1/2,-z'
'x+1/2,-y+1/2,z'
loop_
_atom_site_label
_atom_site_type_symbol
_atom_site_fract_x
_atom_site_fract_y
_atom_site_fract_z
_atom_site_occupancy
Li1 Li 0.000 0.000 0.000 1
Cd1 Cd 0.067 0.307 0.795 1
Cd2 Cd 0.136 0.500 0.330 1
Cd3 Cd 0.238 0.000 0.106 1
Sn1 Sn 0.123 0.000 0.554 1
```

Values from the calculation:
Spin magnetization ... 0.0 Bohr magnetons per cell
Offset from the most stable computed form ... 0 meV/atom

***

DFT (PBE) results for a geometry-optimized Nd2Ho4Sc3 structure.

CIF file:
```
data_Nd2Ho4Sc3
_chemical_formula_sum 'Nd8 Ho16 Sc12'
_cell_length_a 15.610
_cell_length_b 11.356
_cell_length_c 6.035
_cell_angle_alpha 90.00
_cell_angle_beta 95.54
_cell_angle_gamma 90.00
_space_group_name_H-M_alt 'C 1 2/c 1'
_space_group_IT_number 15
loop_
_space_group_symop_operation_xyz
'x,y,z'
'-x,-y,-z'
'-x,y,-z+1/2'
'x,-y,z+1/2'
'x+1/2,y+1/2,z'
'-x+1/2,-y+1/2,-z'
'-x+1/2,y+1/2,-z+1/2'
'x+1/2,-y+1/2,z+1/2'
loop_
_atom_site_label
_atom_site_type_symbol
_atom_site_fract_x
_atom_site_fract_y
_atom_site_fract_z
_atom_site_occupancy
Nd1 Nd 0.117 0.145 0.323 1
Ho1 Ho 0.050 0.362 0.010 1
Ho2 Ho 0.217 0.138 0.844 1
Sc1 Sc 0.000 0.103 0.750 1
Sc2 Sc 0.166 0.400 0.588 1
```

Values from the calculation:
Spin magnetization ... 0.0 Bohr magnetons per cell
Offset from the most stable computed form ... 46 meV/atom

***

DFT (PBE) results for a geometry-optimized ZrPaRe2 structure.

CIF file:
```
data_ZrPaRe2
_chemical_formula_sum 'Zr4 Pa4 Re8'
_cell_length_a 6.764
_cell_length_b 6.764
_cell_length_c 6.764
_cell_angle_alpha 90.00
_cell_angle_beta 90.00
_cell_angle_gamma 90.00
_space_group_name_H-M_alt 'F m -3 m'
_space_group_IT_number 225
_space_group_name_Hall '-F 4 2 3'
loop_
_atom_site_label
_atom_site_type_symbol
_atom_site_fract_x
_atom_site_fract_y
_atom_site_fract_z
_atom_site_occupancy
Zr1 Zr 0.000 0.000 0.000 1
Pa1 Pa 0.000 0.000 0.500 1
Re1 Re 0.250 0.250 0.250 1
```

Values from the calculation:
Spin magnetization ... 0.0 Bohr magnetons per cell
Offset from the most stable computed form ... 20 meV/atom